[1]
Compound: TbErIrRh
Source: Alexandria
Functional: PBE
Structure: optimized geometry

The total magnetization is 0.00 μB per atom. As for the formation energy: -0.885 eV per atom. The total energy comes out at -28.9 eV for the cell shown.

abc: 4.833 4.833 4.833
angles: 60.00 60.00 60.00
Positions (direct):
Tb 0.000 0.000 0.000
Er 0.500 0.500 0.500
Ir 0.750 0.750 0.750
Rh 0.250 0.250 0.250

***

[2]
Compound: ErThIrRh
Source: Alexandria
Functional: PBE
Structure: optimized geometry

The total magnetization is 0.00 μB per atom. As for the formation energy: -0.839 eV per atom. The total energy comes out at -31.6 eV for the cell shown.

abc: 4.950 4.950 4.950
angles: 60.00 60.00 60.00
Positions (direct):
Er 0.000 0.000 0.000
Th 0.500 0.500 0.500
Ir 0.250 0.250 0.250
Rh 0.750 0.750 0.750